# 1
15
Lattice="5.1402 2.9677 8.5914 -5.1402 2.9677 8.5914 0.0000 -5.9353 8.5914" Properties=species:S:1:pos:R:3 comment="BaSr8Ca6, relaxed, DFT PBE" space_group="R-3 (148)" relative_energy_kj_per_mol_atoms=0.0 pbc="T T T"
Ba 0.0000 0.0000 0.0000
Sr -3.7251 0.7015 11.8421
Sr -2.4701 -2.8753 13.9320
Sr 0.0000 0.0000 6.5189
Sr 1.2550 -3.5768 11.8421
Sr -1.2550 3.5768 13.9320
Sr 0.0000 0.0000 19.2552
Sr 2.4701 2.8753 11.8421
Sr 3.7251 -0.7015 13.9320
Ca -1.2900 -2.1459 9.6185
Ca -1.2134 2.1901 9.6185
Ca -2.5034 0.0442 16.1556
Ca 2.5034 -0.0442 9.6185
Ca 1.2134 -2.1901 16.1556
Ca 1.2900 2.1459 16.1556

=====

# 2
6
Lattice="4.3307 0.0000 0.0000 -2.1653 3.7505 0.0000 0.0000 0.0000 5.4593" Properties=species:S:1:pos:R:3 comment="LiRePt, relaxed, DFT PBE" space_group="P6/mmm (191)" relative_energy_kj_per_mol_atoms=10.2 pbc="T T T"
Li 0.0000 2.5003 0.0000
Li 2.1653 1.2502 0.0000
Re 0.0000 2.5003 2.7296
Re 2.1653 1.2502 2.7296
Pt 0.0000 0.0000 1.3792
Pt 0.0000 0.0000 4.0800

=====

# 3
6
Lattice="14.0891 0.0000 0.0000 0.0000 1.3182 2.7529 0.0000 -1.3182 2.7529" Properties=species:S:1:pos:R:3 comment="TaMoW, relaxed, DFT PBE" space_group="Amm2 (38)" relative_energy_kj_per_mol_atoms=45.4 pbc="T T T"
Ta 0.0000 0.0000 0.0000
Ta 7.0446 0.0000 1.4888
Mo 2.3780 0.0000 1.5173
Mo 11.7111 0.0000 1.5173
W 4.6459 0.0000 5.4529
W 9.4433 0.0000 5.4529

=====

# 4
8
Lattice="-2.9444 2.9444 2.4724 2.9444 -2.9444 2.4724 2.9444 2.9444 -2.4724" Properties=species:S:1:pos:R:3 comment="Be2CoRu, relaxed, DFT PBE" space_group="I-42d (122)" pbc="T T T"
Be 4.4166 1.3845 -0.6181
Be 1.3845 1.4722 0.6181
Be -1.4722 1.5599 1.8543
Be 1.5599 1.4722 3.0904
Co 0.0000 0.0000 0.0000
Co 0.0000 2.9444 1.2362
Ru 2.9444 0.0000 1.2362
Ru 0.0000 0.0000 2.4724

=====

Number 1: energy of formation 117 meV per atom. Number 2: energy of formation -148 meV per atom. Number 3: energy of formation 315 meV per atom. Number 4: energy of formation 192 meV per atom.